Record 1
LaHoHg3 after structural relaxation, computed with PBE-GGA.

a b c (Å): 3.627 5.001 14.819
angles (deg): 90.00 97.03 90.00
Site moments in Bohr magnetons follow the coordinates.
Sites, in units of the cell vectors:
1 La 0.924 0.750 0.847  -0.10
2 La 0.076 0.250 0.153  -0.10
3 Ho 0.210 0.750 0.421  -0.01
4 Ho 0.790 0.250 0.579  -0.01
5 Hg 0.625 0.750 0.249  -0.01
6 Hg 0.375 0.250 0.751  -0.01
7 Hg 0.525 0.750 0.049  0.00
8 Hg 0.475 0.250 0.951  0.00
9 Hg 0.685 0.250 0.369  0.00
10 Hg 0.315 0.750 0.631  0.00

Output
**Volume**: 266.8 Å³/cell
**DOS at the Fermi energy**: 4.7 states/eV/f.u.
**Electronic total energy**: -25.43 eV for the cell shown


Record 2
La12Ho3Hg after structural relaxation, computed with PBE-GGA.

a b c (Å): 5.144 5.144 20.772
angles (deg): 90.00 90.00 90.00
Sites, in units of the cell vectors:
1 La 0.500 0.500 0.000
2 La 0.500 0.500 0.247
3 La 0.500 0.500 0.500
4 La 0.500 0.500 0.753
5 La 0.500 0.000 0.122
6 La 0.500 0.000 0.374
7 La 0.500 0.000 0.626
8 La 0.500 0.000 0.878
9 La 0.000 0.500 0.122
10 La 0.000 0.500 0.374
11 La 0.000 0.500 0.626
12 La 0.000 0.500 0.878
13 Ho 0.000 0.000 0.247
14 Ho 0.000 0.000 0.500
15 Ho 0.000 0.000 0.753
16 Hg 0.000 0.000 0.000

Output
**Volume**: 549.7 Å³/cell
**DOS at the Fermi energy**: 21.8 states/eV/f.u.
**Electronic total energy**: -73.76 eV for the cell shown


Record 3
LaHo3Hg6 after structural relaxation, computed with PBE-GGA.

a b c (Å): 5.202 9.248 11.288
angles (deg): 107.23 90.00 90.00
Sites, in units of the cell vectors:
1 La 0.250 0.931 0.618
2 La 0.750 0.069 0.382
3 Ho 0.250 0.509 0.387
4 Ho 0.750 0.491 0.613
5 Ho 0.250 0.352 0.809
6 Ho 0.750 0.648 0.191
7 Ho 0.250 0.769 0.999
8 Ho 0.750 0.231 0.001
9 Hg 0.250 0.464 0.095
10 Hg 0.750 0.536 0.905
11 Hg 0.250 0.145 0.209
12 Hg 0.750 0.855 0.791
13 Hg 0.250 0.637 0.713
14 Hg 0.750 0.363 0.287
15 Hg 0.250 0.261 0.527
16 Hg 0.750 0.739 0.473
17 Hg 0.250 0.819 0.307
18 Hg 0.750 0.181 0.693
19 Hg 0.250 0.063 0.914
20 Hg 0.750 0.937 0.086

Output
**Volume**: 518.7 Å³/cell
**DOS at the Fermi energy**: 7.2 states/eV/f.u.
**Electronic total energy**: -49.68 eV for the cell shown


Record 4
La4HoHg after structural relaxation, computed with PBE-GGA.

a b c (Å): 3.766 3.766 14.154
angles (deg): 90.00 90.00 90.00
Sites, in units of the cell vectors:
1 La 0.500 0.500 0.827
2 La 0.500 0.500 0.173
3 La 0.000 0.000 0.647
4 La 0.000 0.000 0.353
5 Ho 0.000 0.000 0.000
6 Hg 0.500 0.500 0.500

Output
**Volume**: 200.8 Å³/cell
**E above lowest polymorph**: 0 meV/atom
**DOS at the Fermi energy**: 8.5 states/eV/f.u.
**Electronic total energy**: -25.51 eV for the cell shown


Record 5
LiLaHoHg after structural relaxation, computed with PBE-GGA.

a b c (Å): 5.361 5.361 5.361
angles (deg): 60.00 60.00 60.00
Sites, in units of the cell vectors:
1 La 0.000 0.000 0.000
2 Li 0.250 0.250 0.250
3 Hg 0.750 0.750 0.750
4 Ho 0.500 0.500 0.500

Output
**Volume**: 109.0 Å³/cell
**DOS at the Fermi energy**: 5.1 states/eV/f.u.
**Electronic total energy**: -12.51 eV for the cell shown


Record 6
LiLaHo2Hg4 after structural relaxation, computed with PBE-GGA.

a b c (Å): 5.139 5.139 9.392
angles (deg): 74.12 74.12 60.00
Sites, in units of the cell vectors:
1 Li 0.500 0.500 0.500
2 La 0.000 0.000 0.000
3 Ho 0.758 0.758 0.726
4 Ho 0.242 0.242 0.274
5 Hg 0.387 0.387 0.839
6 Hg 0.872 0.872 0.383
7 Hg 0.128 0.128 0.617
8 Hg 0.613 0.613 0.161

Output
**Volume**: 203.8 Å³/cell
**DOS at the Fermi energy**: 6.3 states/eV/f.u.
**Electronic total energy**: -20.73 eV for the cell shown